# 1
The following is a DFT calculation (PBE-GGA) of a relaxed structure of LaTmPb.

The structure in POSCAR format:
```
LaTmPb
1.0
4.263 0.000 0.000
0.000 5.171 0.000
0.000 -2.586 4.479
Pb Tm La
1 1 1
Cartesian
0.700 0.000 0.000 Pb
0.718 2.586 1.493 Tm
2.845 0.000 2.986 La
```

Values from the calculation:
Formation enthalpy at 0 K in kJ/mol of atoms: -27.4

---

# 2
The following is a DFT calculation (PBE-GGA) of a relaxed structure of LaTmPb.

The structure in POSCAR format:
```
LaTmPb
1.0
4.475 0.000 -0.044
0.000 4.933 0.000
-2.178 0.000 8.391
La Tm Pb
2 2 2
Cartesian
2.295 1.233 7.112 La
0.003 3.700 1.235 La
0.031 1.233 4.244 Tm
2.267 3.700 4.103 Tm
2.248 1.233 1.829 Pb
0.049 3.700 6.518 Pb
```

Values from the calculation:
Formation enthalpy at 0 K in kJ/mol of atoms: -42.2

---

# 3
The following is a DFT calculation (PBE-GGA) of a relaxed structure of La3TmPb.

The structure in POSCAR format:
```
La3TmPb
1.0
6.885 -0.226 -0.921
3.265 5.799 -0.362
2.216 1.978 8.100
La Tm Pb
6 2 2
Cartesian
8.583 3.006 5.131 La
6.444 5.945 6.049 La
5.004 2.867 4.588 La
3.782 4.545 1.685 La
5.921 1.606 0.768 La
7.361 4.683 2.229 La
2.420 1.247 -0.014 Tm
9.945 6.304 6.830 Tm
10.090 5.829 3.751 Pb
2.276 1.722 3.065 Pb
```

Values from the calculation:
Formation enthalpy at 0 K in kJ/mol of atoms: -19.8

---

# 4
The following is a DFT calculation (PBE-GGA) of a relaxed structure of LaTm4Pb5.

The structure in POSCAR format:
```
LaTm4Pb5
1.0
-2.458 0.839 -2.418
-1.106 -3.372 -0.046
-14.568 4.556 16.393
La Tm Pb
1 4 5
Cartesian
0.000 0.000 0.000 La
-2.985 0.933 3.359 Tm
-5.855 1.831 6.589 Tm
-8.713 2.725 9.805 Tm
-11.583 3.623 13.035 Tm
-3.363 -0.772 0.548 Pb
-6.206 0.117 3.747 Pb
-9.066 1.012 6.965 Pb
-11.926 1.906 10.183 Pb
-14.769 2.795 13.382 Pb
```

Values from the calculation:
Formation enthalpy at 0 K in kJ/mol of atoms: -39.7
Offset from the most stable computed form in meV per atom: 0

---

# 5
The following is a DFT calculation (PBE-GGA) of a relaxed structure of LaTm2Pb3.

The structure in POSCAR format:
```
LaTm2Pb3
1.0
3.582 0.000 0.000
0.000 5.636 -1.866
0.000 -0.202 8.836
La Tm Pb
1 2 3
Cartesian
0.000 0.000 0.000 La
0.000 1.770 5.347 Tm
0.000 3.664 1.623 Tm
1.791 2.818 -0.933 Pb
1.791 4.505 4.161 Pb
1.791 0.930 2.808 Pb
```

Values from the calculation:
Formation enthalpy at 0 K in kJ/mol of atoms: -39.2
Offset from the most stable computed form in meV per atom: 57

---

# 6
The following is a DFT calculation (PBE-GGA) of a relaxed structure of LaTm8Pb6.

The structure in POSCAR format:
```
LaTm8Pb6
1.0
9.095 0.000 0.000
4.547 7.876 0.000
4.547 2.625 6.553
La Tm Pb
1 8 6
Cartesian
0.000 0.000 0.000 La
7.617 2.580 2.076 Tm
10.669 2.635 4.477 Tm
6.042 5.195 4.477 Tm
13.642 7.876 6.542 Tm
4.547 2.625 0.011 Tm
12.147 5.306 2.076 Tm
7.520 7.866 2.076 Tm
10.573 7.922 4.477 Tm
7.672 2.622 5.184 Pb
10.660 2.704 1.369 Pb
6.107 5.169 1.369 Pb
12.083 5.333 5.184 Pb
7.530 7.797 5.184 Pb
10.518 7.879 1.369 Pb
```

Values from the calculation:
Formation enthalpy at 0 K in kJ/mol of atoms: -29.3

---

# 7
The following is a DFT calculation (PBE-GGA) of a relaxed structure of LaTm3Pb3.

The structure in POSCAR format:
```
LaTm3Pb3
1.0
9.344 0.000 0.000
4.672 8.092 0.000
4.672 2.697 6.320
La Tm Pb
2 6 6
Cartesian
4.672 2.697 0.002 La
14.016 8.092 6.318 La
10.688 8.409 4.522 Tm
11.283 2.723 4.522 Tm
6.061 5.051 4.522 Tm
12.627 5.738 1.798 Tm
7.405 8.066 1.798 Tm
8.000 2.380 1.798 Tm
6.325 5.193 1.469 Pb
11.028 2.881 1.469 Pb
10.679 8.110 1.469 Pb
8.009 2.680 4.850 Pb
7.660 7.908 4.850 Pb
12.362 5.596 4.850 Pb
```

Values from the calculation:
Formation enthalpy at 0 K in kJ/mol of atoms: -29.1

---

# 8
The following is a DFT calculation (PBE-GGA) of a relaxed structure of LaTmPb.

The structure in POSCAR format:
```
LaTmPb
1.0
-0.331 0.642 -3.593
-3.043 -2.040 -0.084
-2.232 6.487 3.233
Pb Tm La
1 1 1
Cartesian
-0.046 0.068 0.016 Pb
-2.882 1.066 -1.413 Tm
-2.677 3.954 0.953 La
```

Values from the calculation:
Formation enthalpy at 0 K in kJ/mol of atoms: -26.8